This record from the Alexandria database describes crystalline Tm2BeNi4P3 at its relaxed geometry. The functional is PBE.

Properties
Its formation energy from the elements is -92.2 kJ per mole of atoms.

a = 3.8160 Å, b = 3.8160 Å, c = 9.2953 Å
α = 90.00°, β = 90.00°, γ = 90.00°
Space group P-4m2 (No. 115)
Symmetry-distinct sites (fractional):
Tm  0.0000  0.5000  0.2465 [2 per cell]
Be  0.5000  0.5000  0.0000 [1 per cell]
Ni  0.0000  0.0000  0.5000 [1 per cell]
Ni  0.0000  0.5000  0.8770 [2 per cell]
Ni  0.5000  0.5000  0.5000 [1 per cell]
P  0.0000  0.0000  0.0000 [1 per cell]
P  0.0000  0.5000  0.6385 [2 per cell]